The following is a DFT calculation (PBE) of a geometry-optimized LiSbTe2 structure.

- Spin magnetization: 0.0 μB per formula unit
- Total DFT energy (no corrections): -3.413 eV per atom
- Energy relative to the elements, uncorrected: -0.33 eV per atom

The structure in POSCAR format:
```
LiSbTe2
1.0
-5.9019 0.9512 -0.2028
-0.0466 -0.9513 -3.1053
-1.0270 -6.3377 0.1615
Li Sb Te
1 1 2
direct
0.0000 0.2766 0.3175 Li
0.5000 0.0020 0.8606 Sb
0.0000 0.9758 0.9322 Te
0.5000 0.2456 0.3898 Te
```